[1]
A geometry-optimized HgPt4Se structure, computed with GGA-PBE.

a b c (Å): 7.592 7.592 7.592
angles (deg): 90.00 90.00 90.00
Space group F-43m (No. 216)
One atom of each set of equivalent atoms:
Hg 0.000 0.000 0.000 x4
Pt 0.125 0.125 0.625 x16
Se 0.250 0.250 0.250 x4

=====

[2]
A geometry-optimized SiHgPtSe2 structure, computed with GGA-PBE.

Output
E above lowest polymorph (kcal/mol of atoms): 0.000

a b c (Å): 5.253 5.253 4.498
angles (deg): 90.00 90.00 90.00
Space group P4/mmm (No. 123)
One atom of each set of equivalent atoms:
Si 0.000 0.000 0.000 x1
Hg 0.500 0.500 0.000 x1
Pt 0.000 0.000 0.500 x1
Se 0.000 0.500 0.500 x2

=====

[3]
A geometry-optimized SiHgPtSe2 structure, computed with GGA-PBE.

Output
E above lowest polymorph (kcal/mol of atoms): 6.771

a b c (Å): 5.017 5.017 5.149
angles (deg): 90.00 90.00 90.00
Space group P4/mmm (No. 123)
One atom of each set of equivalent atoms:
Si 0.000 0.000 0.000 x1
Hg 0.500 0.500 0.000 x1
Pt 0.500 0.500 0.500 x1
Se 0.000 0.500 0.500 x2

=====

[4]
A geometry-optimized Sn2HgPtSe structure, computed with GGA-PBE.

a b c (Å): 5.526 5.526 5.073
angles (deg): 90.00 90.00 90.00
Space group P4/mmm (No. 123)
One atom of each set of equivalent atoms:
Sn 0.000 0.500 0.000 x2
Hg 0.000 0.000 0.500 x1
Pt 0.500 0.500 0.500 x1
Se 0.000 0.000 0.000 x1

=====

[5]
A geometry-optimized Ta2Hg2PtSe6 structure, computed with GGA-PBE.

a b c (Å): 6.379 10.419 9.607
angles (deg): 90.00 106.95 90.00
Space group C2/m (No. 12)
One atom of each set of equivalent atoms:
Ta 0.000 0.196 0.000 x4
Hg 0.000 0.331 0.500 x4
Pt 0.000 0.500 0.000 x2
Se 0.231 0.000 0.149 x4
Se 0.234 0.160 0.818 x8

=====

[6]
A geometry-optimized Ta2HgPtSe structure, computed with GGA-PBE.

a b c (Å): 5.085 5.085 4.924
angles (deg): 90.00 90.00 90.00
Space group P4/mmm (No. 123)
One atom of each set of equivalent atoms:
Ta 0.000 0.500 0.000 x2
Hg 0.000 0.000 0.000 x1
Pt 0.000 0.000 0.500 x1
Se 0.500 0.500 0.500 x1

=====

[7]
A geometry-optimized Tb4Hg2PtSe structure, computed with GGA-PBE.

a b c (Å): 7.261 4.024 7.767
angles (deg): 90.00 106.95 90.00
Space group P2/m (No. 10)
One atom of each set of equivalent atoms:
Tb 0.228 0.000 0.215 x2
Tb 0.252 0.500 0.781 x2
Hg 0.000 0.000 0.500 x1
Hg 0.500 0.500 0.500 x1
Pt 0.000 0.500 0.000 x1
Se 0.500 0.000 0.000 x1

=====

[8]
A geometry-optimized Th4HgPtSe2 structure, computed with GGA-PBE.

a b c (Å): 7.491 4.167 7.618
angles (deg): 90.00 108.34 90.00
Space group P2/m (No. 10)
One atom of each set of equivalent atoms:
Th 0.233 0.000 0.230 x2
Th 0.258 0.500 0.765 x2
Hg 0.000 0.000 0.500 x1
Pt 0.000 0.500 0.000 x1
Se 0.500 0.000 0.000 x1
Se 0.500 0.500 0.500 x1

=====

[9]
A geometry-optimized Tl6Hg2PtSe structure, computed with GGA-PBE.

a b c (Å): 6.804 6.858 6.890
angles (deg): 114.50 90.70 98.30
Space group P1 (No. 1)
One atom of each set of equivalent atoms:
Tl 0.000 0.000 0.000 x1
Tl 0.027 0.448 0.603 x1
Tl 0.399 0.475 0.251 x1
Tl 0.537 0.465 0.747 x1
Tl 0.604 0.030 0.285 x1
Tl 0.886 0.487 0.112 x1
Hg 0.175 0.979 0.456 x1
Hg 0.432 0.984 0.813 x1
Pt 0.253 0.703 0.017 x1
Se 0.776 0.823 0.563 x1

=====

[10]
A geometry-optimized HgPtW2Se structure, computed with GGA-PBE.

a b c (Å): 4.584 4.584 5.011
angles (deg): 90.00 90.00 90.00
Space group P4/mmm (No. 123)
One atom of each set of equivalent atoms:
Hg 0.000 0.000 0.000 x1
Pt 0.500 0.500 0.000 x1
W 0.000 0.500 0.500 x2
Se 0.000 0.000 0.500 x1

=====

[11]
A geometry-optimized ZnHgPtSe2 structure, computed with GGA-PBE.

a b c (Å): 5.249 5.249 4.819
angles (deg): 90.00 90.00 90.00
Space group P4/mmm (No. 123)
One atom of each set of equivalent atoms:
Zn 0.000 0.000 0.000 x1
Hg 0.000 0.000 0.500 x1
Pt 0.500 0.500 0.000 x1
Se 0.000 0.500 0.500 x2

=====

[12]
A geometry-optimized ZrHg2PtSe structure, computed with GGA-PBE.

a b c (Å): 5.189 5.189 4.699
angles (deg): 90.00 90.00 90.00
Space group P4/mmm (No. 123)
One atom of each set of equivalent atoms:
Zr 0.000 0.000 0.000 x1
Hg 0.000 0.500 0.500 x2
Pt 0.500 0.500 0.000 x1
Se 0.500 0.500 0.500 x1

=====

| no. | raw formation energy (eV/atom) |
| --- | --- |
| 1 | 0.3230 |
| 2 | 0.3379 |
| 3 | 0.6316 |
| 4 | 0.7246 |
| 5 | -0.4565 |
| 6 | 1.9379 |
| 7 | -0.9128 |
| 8 | -1.0438 |
| 9 | -0.0806 |
| 10 | 1.7229 |
| 11 | 1.0764 |
| 12 | 0.7244 |